Compound: ZrTaBi3
Source: the Alexandria database
Functional: PBE-GGA
Structure: relaxed

Cell and atoms, written as POSCAR:
```
ZrTaBi3
1.0
5.480 0.000 0.000
0.000 5.480 0.000
0.000 0.000 5.480
Zr Ta Bi
1 1 3
direct
0.000 0.000 0.000 Zr
0.500 0.500 0.500 Ta
0.000 0.500 0.500 Bi
0.500 0.000 0.500 Bi
0.500 0.500 0.000 Bi
```

Output
ΔE to the lowest computed polymorph = 0 meV per atom
spin magnetization = 1.9 μB per cell
VASP energy = -5.489 eV per atom
crystal system = cubic
energy of formation from the pure elements = 0.92 eV/atom

=====

Compound: SrAc8Ni4
Source: the Alexandria database
Functional: PBE-GGA
Structure: relaxed

Cell and atoms, written as POSCAR:
```
SrAc8Ni4
1.0
-7.448 7.448 2.199
7.448 -7.448 2.199
7.448 7.448 -2.199
Sr Ac Ni
1 8 4
direct
0.000 0.000 0.000 Sr
0.043 0.668 0.711 Ac
0.306 0.648 0.954 Ac
0.332 0.043 0.374 Ac
0.352 0.306 0.659 Ac
0.648 0.694 0.341 Ac
0.668 0.957 0.626 Ac
0.694 0.352 0.046 Ac
0.957 0.332 0.289 Ac
0.155 0.327 0.482 Ni
0.327 0.845 0.172 Ni
0.673 0.155 0.828 Ni
0.845 0.673 0.518 Ni
```

Output
spin magnetization = 0.0 μB per cell
VASP energy = -4.565 eV per atom
crystal system = tetragonal
energy of formation from the pure elements = -0.13 eV/atom

=====

Compound: KMo2
Source: the Alexandria database
Functional: PBE-GGA
Structure: relaxed

Cell and atoms, written as POSCAR:
```
KMo2
1.0
9.002 -1.334 0.000
9.002 1.334 0.000
-2.267 0.000 6.061
K Mo
2 4
direct
0.064 0.064 0.315 K
0.936 0.936 0.685 K
0.249 0.249 0.693 Mo
0.336 0.336 0.087 Mo
0.664 0.664 0.913 Mo
0.751 0.751 0.307 Mo
```

Output
ΔE to the lowest computed polymorph = 355 meV per atom
spin magnetization = 0.0 μB per cell
VASP energy = -6.593 eV per atom
crystal system = monoclinic
energy of formation from the pure elements = 0.99 eV/atom

=====

Compound: AcTbPr3Ho
Source: the Alexandria database
Functional: PBE-GGA
Structure: relaxed

Cell and atoms, written as POSCAR:
```
AcTbPr3Ho
1.0
10.484 -2.958 0.000
10.484 2.958 0.000
-0.172 0.000 7.108
Ac Tb Pr Ho
2 2 6 2
direct
0.148 0.148 0.034 Ac
0.852 0.852 0.966 Ac
0.442 0.442 0.705 Tb
0.558 0.558 0.295 Tb
0.016 0.016 0.743 Pr
0.281 0.281 0.719 Pr
0.341 0.341 0.253 Pr
0.659 0.659 0.747 Pr
0.719 0.719 0.281 Pr
0.984 0.984 0.257 Pr
0.141 0.141 0.491 Ho
0.859 0.859 0.509 Ho
```

Output
spin magnetization = 0.0 μB per cell
VASP energy = -4.403 eV per atom
crystal system = monoclinic
energy of formation from the pure elements = 0.21 eV/atom

=====

Compound: CdIrPt2
Source: the Alexandria database
Functional: PBE-GGA
Structure: relaxed

Cell and atoms, written as POSCAR:
```
CdIrPt2
1.0
2.821 0.000 0.000
0.000 4.704 0.000
0.000 0.000 4.895
Cd Ir Pt
1 1 2
direct
0.000 0.000 0.000 Cd
0.000 0.500 0.609 Ir
0.500 0.000 0.509 Pt
0.500 0.500 0.130 Pt
```

Output
spin magnetization = 0.0 μB per cell
VASP energy = -5.499 eV per atom
crystal system = orthorhombic
energy of formation from the pure elements = -0.03 eV/atom

=====

Compound: TaWBr2
Source: the Alexandria database
Functional: PBE-GGA
Structure: relaxed

Cell and atoms, written as POSCAR:
```
TaWBr2
1.0
-1.616 2.313 6.257
1.616 -2.313 6.257
1.616 2.313 -6.257
Ta W Br
1 1 2
direct
0.000 0.000 0.000 Ta
0.150 0.650 0.500 W
0.385 0.385 0.000 Br
0.648 0.148 0.500 Br
```

Output
ΔE to the lowest computed polymorph = 773 meV per atom
spin magnetization = 0.0 μB per cell
formation energy (no corrections) = 717 meV/atom
VASP energy = -6.320 eV per atom
crystal system = orthorhombic